(1)
! CeDyEr2Sc4, relaxed, DFT PBE-GGA; values from VASP
&SYSTEM
  ibrav = 0, nat = 8, ntyp = 4
/
ATOMIC_SPECIES
Er 167.26 Er.upf
Dy 162.50 Dy.upf
Sc 44.96 Sc.upf
Ce 140.12 Ce.upf
ATOMIC_POSITIONS crystal
Er 0.500 0.000 0.500
Dy 0.500 0.500 0.000
Sc 0.500 0.253 0.747
Er 0.000 0.000 0.000
Sc 0.500 0.747 0.253
Sc 0.000 0.247 0.253
Ce 0.000 0.500 0.500
Sc 0.000 0.753 0.747
CELL_PARAMETERS angstrom
-1.576 4.631 -0.191
-2.756 -1.098 -3.883
-9.722 -3.239 1.671
! Formation energy ... 61.7 meV/atom


(2)
! CsUSb3, relaxed, DFT PBE-GGA; values from VASP
&SYSTEM
  ibrav = 0, nat = 5, ntyp = 3
/
ATOMIC_SPECIES
Sb 121.76 Sb.upf
U 238.03 U.upf
Cs 132.91 Cs.upf
ATOMIC_POSITIONS crystal
Sb 0.500 0.000 0.000
U 0.000 0.000 0.000
Sb 0.000 0.500 0.000
Sb 0.000 0.000 0.500
Cs 0.500 0.500 0.500
CELL_PARAMETERS angstrom
5.868 0.000 0.000
0.000 5.868 0.000
0.000 0.000 5.868
! E_form (uncorrected) ... -0.0507 eV/atom


(3)
! TbMgTlPb, relaxed, DFT PBE-GGA; values from VASP
&SYSTEM
  ibrav = 0, nat = 4, ntyp = 4
/
ATOMIC_SPECIES
Tl 204.38 Tl.upf
Mg 24.30 Mg.upf
Tb 158.93 Tb.upf
Pb 207.20 Pb.upf
ATOMIC_POSITIONS crystal
Tl 0.000 0.000 0.000
Mg 0.500 0.000 0.500
Tb 0.500 0.500 0.000
Pb 0.000 0.500 0.500
CELL_PARAMETERS angstrom
-0.398 0.752 -4.370
-4.874 -0.869 0.294
-0.771 4.617 0.865
! Formation energy ... -318.8 meV/atom


(4)
! AcMg4Ir2, relaxed, DFT PBE-GGA; values from VASP
&SYSTEM
  ibrav = 0, nat = 7, ntyp = 3
/
ATOMIC_SPECIES
Mg 24.30 Mg.upf
Ir 192.22 Ir.upf
Ac 227.00 Ac.upf
ATOMIC_POSITIONS crystal
Mg 0.000 0.325 0.650
Mg 0.000 0.675 0.350
Ir 0.500 0.577 0.155
Mg 0.500 0.821 0.642
Ac 0.000 0.000 0.000
Ir 0.500 0.423 0.845
Mg 0.500 0.179 0.358
CELL_PARAMETERS angstrom
-1.124 4.101 -1.042
-4.179 -0.903 0.954
3.342 2.738 7.172
! Formation energy ... -365.6 meV/atom


(5)
! ReNiBP, relaxed, DFT PBE-GGA; values from VASP
&SYSTEM
  ibrav = 0, nat = 4, ntyp = 4
/
ATOMIC_SPECIES
Ni 58.69 Ni.upf
Re 186.21 Re.upf
B 10.81 B.upf
P 30.97 P.upf
ATOMIC_POSITIONS crystal
Ni 0.500 0.500 0.648
Re 0.500 0.000 0.184
B 0.000 0.500 0.327
P 0.000 0.000 0.799
CELL_PARAMETERS angstrom
3.030 0.000 0.000
0.000 3.077 0.000
0.000 0.000 4.835
! Formation energy ... -124.6 meV/atom


(6)
! Ce2DySc3P6, relaxed, DFT PBE-GGA; values from VASP
&SYSTEM
  ibrav = 0, nat = 12, ntyp = 4
/
ATOMIC_SPECIES
Ce 140.12 Ce.upf
P 30.97 P.upf
Sc 44.96 Sc.upf
Dy 162.50 Dy.upf
ATOMIC_POSITIONS crystal
Ce 0.667 0.333 0.000
P 0.757 0.757 0.268
Sc 0.500 0.500 0.500
P 0.089 0.421 0.266
Ce 0.333 0.667 0.000
P 0.579 0.911 0.734
Sc 0.833 0.167 0.500
Dy 0.000 0.000 0.000
P 0.911 0.579 0.734
P 0.243 0.243 0.732
P 0.421 0.089 0.266
Sc 0.167 0.833 0.500
CELL_PARAMETERS angstrom
6.787 -0.001 0.001
-3.393 5.879 0.001
-1.132 -1.961 6.339
! Formation energy ... -1502.0 meV/atom


(7)
! K2NaBeTc, relaxed, DFT PBE-GGA; values from VASP
&SYSTEM
  ibrav = 0, nat = 5, ntyp = 4
/
ATOMIC_SPECIES
Tc 98.00 Tc.upf
K 39.10 K.upf
Na 22.99 Na.upf
Be 9.01 Be.upf
ATOMIC_POSITIONS crystal
Tc 0.500 0.500 0.500
K 0.000 0.000 0.500
Na 0.000 0.500 0.000
K 0.500 0.000 0.000
Be 0.000 0.000 0.000
CELL_PARAMETERS angstrom
6.164 0.000 0.000
0.000 5.401 0.000
0.000 0.000 6.164
! Formation energy ... 1543.0 meV/atom


(8)
An optimized crystal structure of HgH2SeCl2. Source: Alexandria via LeMat-Bulk, functional PBE-GGA. Values from VASP.

Cell and atoms, written as Quantum ESPRESSO input:
```
&SYSTEM
  ibrav = 0, nat = 12, ntyp = 4
/
ATOMIC_SPECIES
Cl 35.45 Cl.upf
H 1.01 H.upf
Se 78.96 Se.upf
Hg 200.59 Hg.upf
ATOMIC_POSITIONS crystal
Cl 0.852 0.015 0.480
H 0.669 0.802 0.764
Se 0.590 0.009 0.000
Cl 0.352 0.465 0.480
Hg 0.841 0.235 0.000
Cl 0.352 0.985 0.520
Se 0.090 0.991 0.000
Hg 0.341 0.765 0.000
H 0.169 0.198 0.236
H 0.169 0.961 0.764
H 0.669 0.039 0.236
Cl 0.852 0.535 0.520
CELL_PARAMETERS angstrom
9.184 0.000 0.000
0.000 8.825 0.000
0.000 -4.412 4.483
```


Calculated values (eV per atom) of total energy for the records, taken in order: -5.5618, -4.9525, -3.3936, -4.3955, -7.7038, -7.1623, -1.9782, -2.6868.
Calculated values (g cm⁻³) of mass density for the records, taken in order: 6.2, 6.1, 9.4, 7.6, 10.6, 5.0, 1.7, 3.2.
Calculated values (Å³ per atom) of volume for the records, taken in order: 27.40, 40.40, 26.28, 22.14, 11.27, 21.08, 41.04, 30.28.